[1]
Li2Be2Ni (PBE, relaxed); D(E_F) = 4.6 states/eV/cell; magnetic moment = 0.00 μB/cell; formation enthalpy at 0 K = 0.205 eV/atom; volume = 122 Å³/cell; crystal system = tetragonal
1.0
5.464 0.000 0.000
0.000 5.464 0.000
0.000 0.000 4.091
Li Be Ni
4 4 2
Cartesian
0.969 1.763 0.000 Li
1.763 4.495 0.000 Li
3.702 0.969 0.000 Li
4.495 3.702 0.000 Li
0.781 3.513 2.046 Be
1.951 0.781 2.046 Be
3.513 4.683 2.046 Be
4.683 1.951 2.046 Be
0.000 0.000 2.046 Ni
2.732 2.732 2.046 Ni

---

[2]
Li3BeNi (PBE, relaxed); D(E_F) = 2.9 states/eV/cell; magnetic moment = 0.00 μB/cell; formation enthalpy at 0 K = 0.702 eV/atom; volume = 86 Å³/cell; crystal system = cubic
1.0
4.412 0.000 0.000
0.000 4.412 0.000
0.000 0.000 4.412
Li Be Ni
3 1 1
Cartesian
0.000 0.000 2.206 Li
0.000 2.206 0.000 Li
2.206 0.000 0.000 Li
2.206 2.206 2.206 Be
0.000 0.000 0.000 Ni

---

[3]
LiBe5Ni4 (PBE, relaxed); D(E_F) = 4.6 states/eV/cell; magnetic moment = 0.00 μB/cell; formation enthalpy at 0 K = -0.332 eV/atom; volume = 94 Å³/cell; crystal system = tetragonal
1.0
2.615 0.000 0.000
0.000 2.615 0.000
0.000 0.000 13.682
Li Be Ni
1 5 4
Cartesian
0.000 0.000 0.000 Li
1.308 1.308 1.684 Be
1.308 1.308 4.207 Be
1.308 1.308 6.841 Be
1.308 1.308 9.475 Be
1.308 1.308 11.998 Be
0.000 0.000 2.906 Ni
0.000 0.000 5.536 Ni
0.000 0.000 8.146 Ni
0.000 0.000 10.776 Ni

---

[4]
LiBeNi3 (PBE, relaxed); D(E_F) = 6.6 states/eV/cell; magnetic moment = 0.54 μB/cell; formation enthalpy at 0 K = 0.257 eV/atom; volume = 60 Å³/cell; crystal system = cubic
1.0
3.925 0.000 0.000
0.000 3.925 0.000
0.000 0.000 3.925
Li Be Ni
1 1 3
Cartesian
0.000 0.000 0.000 Li
1.962 1.962 1.962 Be
0.000 1.962 1.962 Ni
1.962 0.000 1.962 Ni
1.962 1.962 0.000 Ni

---

[5]
LiBe2Ni2 (PBE, relaxed); D(E_F) = 4.6 states/eV/cell; magnetic moment = 0.00 μB/cell; formation enthalpy at 0 K = -0.237 eV/atom; volume = 102 Å³/cell; crystal system = tetragonal
1.0
6.476 0.000 0.000
0.000 6.476 0.000
0.000 0.000 2.428
Li Be Ni
2 4 4
Cartesian
0.000 0.000 0.000 Li
3.238 3.238 0.000 Li
1.017 2.221 1.214 Be
2.221 5.459 1.214 Be
4.255 1.017 1.214 Be
5.459 4.255 1.214 Be
0.894 4.132 0.000 Ni
2.344 0.894 0.000 Ni
4.132 5.582 0.000 Ni
5.582 2.344 0.000 Ni

---

[6]
LiBeNi (PBE, relaxed); D(E_F) = 1.4 states/eV/cell; magnetic moment = 0.00 μB/cell; formation enthalpy at 0 K = -0.102 eV/atom; volume = 65 Å³/cell; crystal system = monoclinic
1.0
9.806 0.000 0.000
0.000 2.630 0.000
-0.698 0.000 2.535
Li Be Ni
2 2 2
Cartesian
0.000 0.000 0.000 Li
4.903 1.315 0.000 Li
1.411 1.315 1.760 Be
6.315 0.000 1.760 Be
2.812 0.000 0.783 Ni
7.715 1.315 0.783 Ni

---

[7]
LiBeNi (PBE, relaxed); D(E_F) = 4.6 states/eV/cell; magnetic moment = 0.00 μB/cell; formation enthalpy at 0 K = 0.278 eV/atom; volume = 140 Å³/cell; crystal system = cubic
1.0
5.196 0.000 0.000
0.000 5.196 0.000
0.000 0.000 5.196
Li Be Ni
4 4 4
Cartesian
0.000 0.000 0.000 Li
0.000 2.598 2.598 Li
2.598 0.000 2.598 Li
2.598 2.598 0.000 Li
1.299 1.299 3.897 Be
1.299 3.897 1.299 Be
3.897 1.299 1.299 Be
3.897 3.897 3.897 Be
0.000 0.000 2.598 Ni
0.000 2.598 0.000 Ni
2.598 0.000 0.000 Ni
2.598 2.598 2.598 Ni